1.
The following is a PBE calculation of a geometry-optimized MgAs2Pt structure, from the Alexandria database.

The structure in POSCAR format:
```
MgAs2Pt
1.0
3.123 0.000 0.000
0.000 4.102 0.000
0.000 0.000 5.646
Mg As Pt
1 2 1
direct
0.000 0.000 0.000 Mg
0.000 0.000 0.481 As
0.500 0.500 0.840 As
0.500 0.500 0.350 Pt
```

Results
Density (g/cm3): 8.476
Space group: Pmm2, No. 25
ΔH_f (0 K) (meV per atom): -225
Total magnetization (Bohr magnetons per cell): 0.00

2.
The following is a PBE calculation of a geometry-optimized MgAs2Pt structure, from the Alexandria database.

The structure in POSCAR format:
```
MgAs2Pt
1.0
6.886 0.000 0.000
0.000 3.766 0.000
-2.093 0.000 6.053
Mg As Pt
2 4 2
direct
0.000 0.000 0.000 Mg
0.500 0.500 0.000 Mg
0.239 0.000 0.707 As
0.261 0.500 0.293 As
0.739 0.500 0.707 As
0.761 0.000 0.293 As
0.000 0.500 0.500 Pt
0.500 0.000 0.500 Pt
```

Results
Density (g/cm3): 7.811
Space group: C2/m, No. 12
ΔH_f (0 K) (meV per atom): -340
Total magnetization (Bohr magnetons per cell): 0.00

3.
The following is a PBE calculation of a geometry-optimized MgAsPt3 structure, from the Alexandria database.

The structure in POSCAR format:
```
MgAsPt3
1.0
4.628 0.000 0.000
0.000 4.628 0.000
0.000 0.000 4.628
Mg As Pt
1 1 3
direct
0.000 0.000 0.000 Mg
0.500 0.500 0.500 As
0.000 0.000 0.500 Pt
0.000 0.500 0.000 Pt
0.500 0.000 0.000 Pt
```

Results
Density (g/cm3): 11.470
Space group: Pm-3m, No. 221
Polymorph energy (0 for the lowest one) (eV/f.u.): 3.812
ΔH_f (0 K) (meV per atom): 837
Total magnetization (Bohr magnetons per cell): 0.00